Version A
Here is crystalline Pm2CuBi at its relaxed geometry from Alexandria via LeMat-Bulk. Energies are from PBE.

Cell: 4.1001 5.1312 5.1312 Å, 90.00 90.00 90.00°
Last column: nearest neighbours and their distance in Å.
Fractional coordinates of all 4 atoms:
Pm: 0.0000 0.0000 0.5000  4 Bi 3.28, 4 Cu 3.28, 4 Pm 3.63
Pm: 0.0000 0.5000 0.0000  4 Cu 3.28, 4 Bi 3.28, 4 Pm 3.63
Cu: 0.5000 0.0000 0.0000  8 Pm 3.28, 4 Bi 3.63
Bi: 0.5000 0.5000 0.5000  8 Pm 3.28, 4 Cu 3.63

Summary:
total magnetization: 0.00 μB/cell
space-group type: P4/mmm, No. 123

Version B
Here is crystalline Pm2CuBi at its relaxed geometry from Alexandria via LeMat-Bulk. Energies are from PBE.

Cell: 5.3334 5.3334 5.3334 Å, 60.00 60.00 60.00°
Last column: nearest neighbours and their distance in Å.
Fractional coordinates of all 4 atoms:
Cu: 0.5000 0.5000 0.5000  8 Pm 3.27
Bi: 0.0000 0.0000 0.0000  8 Pm 3.27
Pm: 0.2500 0.2500 0.2500  4 Bi 3.27, 4 Cu 3.27
Pm: 0.7500 0.7500 0.7500  4 Cu 3.27, 4 Bi 3.27

Summary:
total magnetization: 0.00 μB/cell
space-group type: Fm-3m, No. 225

Which is the most stable structure? version A is the most stable.